1.
DFT (PBE) results for SrNd3Dy2Se6 after structural relaxation.

Summary:
* formation energy (no corrections): -1.824 eV per atom
* total moment: 0.000 μB/f.u.
* space group: C2/m, No. 12

abc: 7.243 7.243 7.355
angles: 99.42 99.42 120.06
Fractional positions:
Sr 0.000 0.000 0.000
Nd 0.160 0.840 0.500
Nd 0.500 0.500 0.500
Nd 0.840 0.160 0.500
Dy 0.333 0.667 0.000
Dy 0.667 0.333 0.000
Se 0.081 0.426 0.244
Se 0.265 0.265 0.764
Se 0.426 0.081 0.244
Se 0.574 0.919 0.756
Se 0.735 0.735 0.236
Se 0.919 0.574 0.756

2.
DFT (PBE) results for SrNdDy2Se4 after structural relaxation.

Summary:
* formation energy (no corrections): -1.829 eV per atom
* total moment: 0.000 μB/f.u.
* space group: P2/m, No. 10

abc: 7.272 4.161 7.285
angles: 90.00 108.99 90.00
Fractional positions:
Sr 0.000 0.000 0.000
Nd 0.500 0.500 0.000
Dy 0.000 0.500 0.500
Dy 0.500 0.000 0.500
Se 0.246 0.000 0.735
Se 0.258 0.500 0.267
Se 0.742 0.500 0.733
Se 0.754 0.000 0.265

3.
DFT (PBE) results for Sr2NdDySe4 after structural relaxation.

Summary:
* formation energy (no corrections): -1.897 eV per atom
* total moment: 0.000 μB/f.u.
* space group: P2/m, No. 10

abc: 7.360 4.247 7.523
angles: 90.00 109.01 90.00
Fractional positions:
Sr 0.000 0.000 0.000
Sr 0.500 0.500 0.000
Nd 0.000 0.500 0.500
Dy 0.500 0.000 0.500
Se 0.253 0.000 0.738
Se 0.262 0.500 0.267
Se 0.738 0.500 0.733
Se 0.747 0.000 0.262